(1)
CoAgH3 | PBE | relaxed

Output
total moment: 1.28 μB/f.u.
SG: Pm-3m, No. 221

Geometry as extended XYZ:
```
5
Lattice="3.5193 0.0000 0.0000 0.0000 3.5193 0.0000 0.0000 0.0000 3.5193" Properties=species:S:1:pos:R:3 pbc="T T T"
Co 0.0000 0.0000 0.0000
Ag 1.7597 1.7597 1.7597
H 0.0000 1.7597 1.7597
H 1.7597 0.0000 1.7597
H 1.7597 1.7597 0.0000
```

(2)
CoAg2H2 | PBE | relaxed

Output
total moment: 0.69 μB/f.u.
SG: P4/mbm, No. 127

Geometry as extended XYZ:
```
10
Lattice="5.3443 0.0000 0.0000 0.0000 5.3443 0.0000 0.0000 0.0000 3.9275" Properties=species:S:1:pos:R:3 pbc="T T T"
Co 0.0000 0.0000 0.0000
Co 2.6721 2.6721 0.0000
Ag 1.0287 1.6434 1.9638
Ag 1.6434 4.3156 1.9638
Ag 3.7008 1.0287 1.9638
Ag 4.3156 3.7008 1.9638
H 1.2504 1.4217 0.0000
H 1.4217 4.0938 0.0000
H 3.9226 1.2504 0.0000
H 4.0938 3.9226 0.0000
```

(3)
CoAgH3 | PBE | relaxed

Output
total moment: 0.44 μB/f.u.
SG: C2/m, No. 12

Geometry as extended XYZ:
```
10
Lattice="3.8625 -2.2347 0.0000 3.8625 2.2347 0.0000 -2.5705 0.0000 4.4797" Properties=species:S:1:pos:R:3 pbc="T T T"
Co 1.2892 0.0000 0.1086
Co 3.8653 0.0000 4.3711
Ag 1.2901 0.0000 3.0526
Ag 3.8644 0.0000 1.4271
H -0.0618 0.0000 1.0227
H 1.9626 1.1710 1.0235
H 3.1919 1.1710 3.4562
H 1.9626 -1.1710 1.0235
H 3.1919 -1.1710 3.4562
H 5.2164 0.0000 3.4570
```

(4)
CoAgH2 | PBE | relaxed

Output
total moment: 0.42 μB/f.u.
SG: R-3m, No. 166

Geometry as extended XYZ:
```
4
Lattice="1.4032 0.8101 5.0325 -1.4032 0.8101 5.0325 0.0000 -1.6203 5.0325" Properties=species:S:1:pos:R:3 pbc="T T T"
Co 0.0000 0.0000 0.0000
Ag 0.0000 0.0000 7.5487
H 0.0000 0.0000 5.5960
H 0.0000 0.0000 9.5014
```

(5)
CoAgH3 | PBE | relaxed

Output
total moment: 0.00 μB/f.u.
SG: Pm-3m, No. 221

Geometry as extended XYZ:
```
5
Lattice="3.3300 0.0000 0.0000 0.0000 3.3300 0.0000 0.0000 0.0000 3.3300" Properties=species:S:1:pos:R:3 pbc="T T T"
Co 0.0000 0.0000 0.0000
Ag 1.6650 1.6650 1.6650
H 0.0000 0.0000 1.6650
H 0.0000 1.6650 0.0000
H 1.6650 0.0000 0.0000
```

(6)
CoAgH2 | PBE | relaxed

Output
total moment: 0.13 μB/f.u.
SG: I-42d, No. 122

Geometry as extended XYZ:
```
8
Lattice="-2.0859 2.0859 4.0811 2.0859 -2.0859 4.0811 2.0859 2.0859 -4.0811" Properties=species:S:1:pos:R:3 pbc="T T T"
Co 0.0000 0.0000 0.0000
Co 0.0000 2.0859 2.0405
Ag 2.0859 0.0000 2.0405
Ag 0.0000 0.0000 4.0811
H 3.1288 0.6716 -1.0203
H 0.6716 1.0429 1.0203
H -1.0429 1.4143 3.0608
H 1.4143 1.0429 5.1013
```

(7)
CoAgH2 | PBE | relaxed

Output
total moment: 0.51 μB/f.u.
SG: R3m, No. 160

Geometry as extended XYZ:
```
4
Lattice="1.3805 0.7970 5.1965 -1.3805 0.7970 5.1965 0.0000 -1.5940 5.1965" Properties=species:S:1:pos:R:3 pbc="T T T"
Co 0.0000 0.0000 0.0000
Ag 0.0000 0.0000 2.7265
H 0.0000 0.0000 5.8892
H 0.0000 0.0000 9.7745
```

(8)
CoAgH2 | PBE | relaxed

Output
total moment: 1.09 μB/f.u.
SG: Fm-3m, No. 225

Geometry as extended XYZ:
```
4
Lattice="0.0000 2.6006 2.6006 2.6006 0.0000 2.6006 2.6006 2.6006 0.0000" Properties=species:S:1:pos:R:3 pbc="T T T"
Co 0.0000 0.0000 0.0000
Ag 2.6006 2.6006 2.6006
H 1.3003 1.3003 1.3003
H 3.9009 3.9009 3.9009
```

We obtain total energy values of -3.183; -3.549; -3.870; -4.025; -3.789; -3.906; -4.002; -3.425 eV per atom for the records listed above, in that order.